# PuZrZn

PuZrZn after structural relaxation (PBE, the Alexandria database).

Properties
excess energy over the best structure of this formula in the dataset = 0.014 eV/atom
SG = P6_3/mmc, No. 194
formation energy from the elements = -0.02 eV/atom
mass density = 10.45 g/cm³
DOS(E_F) = 11.1 states/eV per cell

a = 5.0023 Å, b = 5.0023 Å, c = 5.8770 Å
α = 90.00°, β = 90.00°, γ = 120.00°
Element x y z (fractional)
Pu 0.0000 0.0000 0.0000
Pu 0.0000 0.0000 0.5000
Zr 0.3333 0.6667 0.2500
Zr 0.6667 0.3333 0.7500
Zn 0.3333 0.6667 0.7500
Zn 0.6667 0.3333 0.2500